No. 1
First-principles (PBE-GGA) data for an optimized crystal structure of Tl2ReRu, as listed in Alexandria.

Offset from the most stable computed form   743 meV/atom
Electronic total energy   -5.44 eV/atom
Formation energy   1.178 eV per atom

a b c (Å): 4.7539 4.7539 4.7539
angles (deg): 60.00 60.00 60.00
Element x y z (fractional)
Ru (0.7500, 0.7500, 0.7500)
Tl (0.0000, 0.0000, 0.0000)
Tl (0.2500, 0.2500, 0.2500)
Re (0.5000, 0.5000, 0.5000)

---

No. 2
First-principles (PBE-GGA) data for an optimized crystal structure of FeBiI2N, as listed in Alexandria.

Offset from the most stable computed form   0 meV/atom
Electronic total energy   -4.32 eV/atom
Formation energy (no corrections)   0.44 eV/atom

a b c (Å): 5.6447 5.6447 3.5568
angles (deg): 90.00 90.00 90.00
Element x y z (fractional)
N (0.0000, 0.0000, 0.5000)
Bi (0.5000, 0.5000, 0.5000)
I (0.0000, 0.5000, 0.0000)
I (0.5000, 0.0000, 0.0000)
Fe (0.0000, 0.0000, 0.0000)

---

No. 3
First-principles (PBE-GGA) data for an optimized crystal structure of CaAs2Se, as listed in Alexandria.

Electronic total energy   -3.78 eV/atom
Formation energy (no corrections)   -0.09 eV/atom

a b c (Å): 6.3530 6.3530 7.8606
angles (deg): 66.17 66.17 90.00
Element x y z (fractional)
Se (0.0000, 0.0000, 0.0000)
As (0.3750, 0.3301, 0.7500)
As (0.8750, 0.9199, 0.7500)
As (0.6699, 0.1250, 0.2500)
Se (0.7500, 0.2500, 0.5000)
Ca (0.5000, 0.5000, 0.0000)
Ca (0.2500, 0.7500, 0.5000)
As (0.0801, 0.6250, 0.2500)

---

Question: What is the electronic total energy in the first record?
Answer: -5.44 eV/atom

---

Question: Which value of electronic total energy does entry 3 give?
Answer: -3.78 eV/atom

---

Question: electronic total energy of number 2 (FeBiI2N)?
Answer: -4.32 eV/atom